A.
Entry from Alexandria: a geometry-optimized Al2CuSi4 structure (PBE).

DOS(E_F), states/eV/cell: 2.55

Cell lengths 3.6196, 3.6196, 11.7331 Å; angles 90.00, 90.00, 120.00 degrees
With the nearest neighbours (Å) after each atom.
Space group P3m1 (No. 156)
Unique sites:
Al 0.0000 0.0000 0.0000 [1 per cell]  6 Si 2.59-2.61
Al 0.3333 0.6667 0.6604 [1 per cell]  5 Si 2.46-2.73
Cu 0.6667 0.3333 0.3276 [1 per cell]  5 Si 2.28-2.43
Si 0.3333 0.6667 0.4277 [1 per cell]  3 Cu 2.40, 3 Si 2.44
Si 0.3333 0.6667 0.8698 [1 per cell]  4 Al 2.46-2.59
Si 0.6667 0.3333 0.1330 [1 per cell]  1 Cu 2.28
Si 0.6667 0.3333 0.5346 [1 per cell]  1 Cu 2.43, 3 Si 2.44, 3 Al 2.56

B.
Entry from Alexandria: a geometry-optimized Al2CuSi4 structure (PBE).

DOS(E_F), states/eV/cell: 3.84

Cell lengths 6.8674, 3.6828, 9.8495 Å; angles 90.00, 98.08, 90.00 degrees
With the nearest neighbours (Å) after each atom.
Space group P2_1/m (No. 11)
Unique sites:
Al 0.1624 0.2500 0.4618 [2 per cell]  4 Si 2.53-2.61
Al 0.3241 0.2500 0.0523 [2 per cell]  3 Si 2.52-2.66, 3 Cu 2.61-2.65
Cu 0.2931 0.7500 0.8620 [2 per cell]  5 Si 2.40-2.54, 3 Al 2.61-2.65
Si 0.0584 0.2500 0.2046 [2 per cell]  1 Cu 2.41, 2 Si 2.41, 2 Al 2.52-2.53
Si 0.1208 0.2500 0.7138 [2 per cell]  3 Si 2.41-2.46, 2 Cu 2.54, 1 Al 2.54
Si 0.4233 0.7500 0.4335 [2 per cell]  3 Si 2.39-2.41, 2 Al 2.61
Si 0.4782 0.2500 0.7899 [2 per cell]  2 Si 2.39-2.46, 2 Cu 2.40, 2 Al 2.66

Pick the least stable structure from those above. Pick: A